Entry from the Alexandria database: crystalline LiFe2OF5 at its relaxed geometry (GGA+U).

Cell: 5.2252 5.2252 13.8703 Å, 90.00 90.00 120.00°
Positions (direct):
1 F 0.6833 0.6795 0.7556
2 F 0.9632 0.6666 0.9095
3 F 0.9904 0.3352 0.7561
4 Li 0.3848 0.6705 0.3432
5 O 0.6957 0.6648 0.4262
6 Li 0.3295 0.7143 0.6765
7 F 0.3449 0.0096 0.4228
8 F 0.3334 0.2965 0.2428
9 F 0.7093 0.0408 0.9074
10 Li 0.2857 0.6152 0.0098
11 Fe 0.6742 0.3471 0.4949
12 O 0.9692 0.3043 0.0928
13 Fe 0.0174 0.0097 0.8282
14 F 0.9945 0.6653 0.5792
15 F 0.9592 0.6685 0.2407
16 F 0.6648 0.6551 0.0894
17 F 0.6708 0.0055 0.2458
18 Fe 0.6730 0.3258 0.1616
19 F 0.3205 0.0038 0.0889
20 Fe 0.9922 0.9826 0.4949
21 F 0.7035 0.0368 0.5761
22 F 0.3347 0.3292 0.9125
23 Fe 0.9903 0.0078 0.1616
24 O 0.3352 0.0308 0.7595
25 F 0.3315 0.2907 0.5740
26 F 0.9962 0.3167 0.4223
27 Fe 0.6529 0.3270 0.8283

**E_tot**: -5.373 eV per atom